(1)
The following is a PBE calculation of crystalline Ca7Tl2Au2 at its relaxed geometry, from the Alexandria database.

It has space group Cmmm (No. 65), with a = 8.4580 Å, b = 11.6180 Å, c = 7.5196 Å, α = 90.00°, β = 90.00° and γ = 90.00°. The asymmetric unit holds Ca at (0.0000, 0.0000, 0.0000), Ca at (0.0000, 0.5000, 0.2462), Ca at (0.2500, 0.2500, 0.2636), Tl at (0.1786, 0.0000, 0.5000) and Au at (0.0000, 0.2912, 0.0000).

The value obtained for the volume is 33.59 Å³ per atom. The value obtained for the density of states at the Fermi level is 17.466 states/eV per cell. Its energy relative to the elements is -0.39 eV per atom. The calculation puts the calculated density at 4.9 g/cm³.

=====

(2)
The following is a PBE calculation of crystalline PmDy2SbN4 at its relaxed geometry, from the Alexandria database.

It has space group Cmcm (No. 63), with a = 3.3287 Å, b = 13.5157 Å, c = 11.4864 Å, α = 90.00°, β = 90.00° and γ = 90.00°. The asymmetric unit holds Pm at (0.0000, 0.2387, 0.2500), Dy at (0.0000, 0.3687, 0.5042), Sb at (0.0000, 0.0117, 0.7500), N at (0.0000, 0.0000, 0.0000), N at (0.0000, 0.2117, 0.6069) and N at (0.0000, 0.4095, 0.7500).

The value obtained for the volume is 16.15 Å³ per atom. The value obtained for the density of states at the Fermi level is 1.404 states/eV per cell. The uncorrected formation energy is -0.828 eV per atom. The calculation puts the calculated density at 8.3 g/cm³.

=====

(3)
The following is a PBE calculation of crystalline Th12Hg3Os5 at its relaxed geometry, from the Alexandria database.

It has space group Ia-3d (No. 230), with a = 17.3687 Å, b = 17.3687 Å, c = 17.3687 Å, α = 90.00°, β = 90.00° and γ = 90.00°. The asymmetric unit holds Th at (0.0257, 0.0584, 0.6494), Hg at (0.0000, 0.2500, 0.1250), Os at (0.0000, 0.0000, 0.0000) and Os at (0.0000, 0.2500, 0.3750).

The value obtained for the volume is 32.75 Å³ per atom. The value obtained for the density of states at the Fermi level is 162.435 states/eV per cell. Its energy relative to the elements is 0.07 eV per atom. The calculation puts the calculated density at 11.0 g/cm³.

=====

(4)
The following is a PBE calculation of crystalline PrRuRh at its relaxed geometry, from the Alexandria database.

It has space group Fmmm (No. 69), with a = 4.5607 Å, b = 13.4408 Å, c = 16.7941 Å, α = 90.00°, β = 90.00° and γ = 90.00°. The asymmetric unit holds Pr at (0.0000, 0.1295, 0.1040), Ru at (0.0000, 0.1853, 0.3007), Rh at (0.0000, 0.0000, 0.2789) and Rh at (0.0000, 0.1009, 0.5000).

The value obtained for the volume is 21.45 Å³ per atom. The value obtained for the density of states at the Fermi level is 56.170 states/eV per cell. Its energy relative to the elements is 0.07 eV per atom. The calculation puts the calculated density at 8.9 g/cm³.

=====

(5)
The following is a PBE calculation of crystalline TlSb2P2 at its relaxed geometry, from the Alexandria database.

It has space group I4/mmm (No. 139), with a = 5.3882 Å, b = 5.3882 Å, c = 8.5421 Å, α = 90.00°, β = 90.00° and γ = 90.00°. The asymmetric unit holds Tl at (0.0000, 0.0000, 0.0000), Sb at (0.0000, 0.5000, 0.2500) and P at (0.0000, 0.0000, 0.3689).

The value obtained for the volume is 24.80 Å³ per atom. The value obtained for the density of states at the Fermi level is 6.729 states/eV per cell. The uncorrected formation energy is 0.249 eV per atom. The calculation puts the energy above the lowest structure with this stoichiometry at 59 meV/atom. The calculation puts the calculated density at 6.8 g/cm³.

=====

(6)
The following is a PBE calculation of crystalline Ca12Si5H2 at its relaxed geometry, from the Alexandria database.

It has space group C2/m (No. 12), with a = 16.0680 Å, b = 7.5970 Å, c = 9.6389 Å, α = 90.00°, β = 107.10° and γ = 90.00°. The asymmetric unit holds Ca at (0.0002, 0.0000, 0.2018), Ca at (0.0129, 0.5000, 0.7979), Ca at (0.1536, 0.2501, 0.5703), Ca at (0.1684, 0.2345, 0.0921), Si at (0.0000, 0.5000, 0.5000), Si at (0.1852, 0.0000, 0.8410), Si at (0.1863, 0.0000, 0.3468) and H at (0.0000, 0.1924, 0.0000).

The value obtained for the volume is 29.59 Å³ per atom. The value obtained for the density of states at the Fermi level is 7.675 states/eV per cell. The energy comes out at -127.2 eV per cell. The calculation puts the calculated density at 1.8 g/cm³.